(1)
The following is a PBE calculation of a relaxed CaZn2Ir crystal, from Alexandria via LeMat-Bulk.

Cell and atoms, written as POSCAR:
```
CaZn2Ir
1.0
5.629 0.000 0.000
0.000 7.122 0.000
0.000 0.000 15.522
Zn Ca Ir
16 8 8
Direct
0.540 0.447 0.712
0.540 0.053 0.712
0.723 0.564 0.544
0.040 0.947 0.788
0.223 0.436 0.956
0.277 0.064 0.456
0.723 0.936 0.544
0.277 0.436 0.456
0.960 0.053 0.212
0.777 0.564 0.044
0.460 0.947 0.288
0.960 0.447 0.212
0.460 0.553 0.288
0.040 0.553 0.788
0.777 0.936 0.044
0.223 0.064 0.956
0.251 0.750 0.103
0.249 0.750 0.603
0.975 0.750 0.361
0.525 0.750 0.861
0.749 0.250 0.897
0.751 0.250 0.397
0.025 0.250 0.639
0.475 0.250 0.139
0.721 0.750 0.187
0.012 0.750 0.929
0.221 0.250 0.313
0.512 0.250 0.571
0.488 0.750 0.429
0.988 0.250 0.071
0.779 0.750 0.687
0.279 0.250 0.813
```

Output
ΔE_f = -1.514 eV per formula unit
M_tot = 0.00 μB/f.u.
Total energy = -0.137 hartree per atom
V = 19.4 Å³ per atom
Crystal system = orthorhombic


(2)
The following is a PBE calculation of a relaxed CaZn2Ir2 crystal, from Alexandria via LeMat-Bulk.

Cell and atoms, written as POSCAR:
```
CaZn2Ir2
1.0
7.540 0.000 0.000
0.000 7.540 0.000
0.000 0.000 2.924
Ir Zn Ca
4 4 2
Direct
0.133 0.367 0.000
0.867 0.633 0.000
0.633 0.133 0.000
0.367 0.867 0.000
0.337 0.163 0.500
0.163 0.663 0.500
0.663 0.837 0.500
0.837 0.337 0.500
0.000 0.000 0.000
0.500 0.500 0.000
```

Output
ΔE_f = -1.079 eV per formula unit
M_tot = 0.00 μB/f.u.
Total energy = -0.172 hartree per atom
V = 16.6 Å³ per atom
Crystal system = tetragonal


(3)
The following is a PBE calculation of a relaxed CaZn3Ir3 crystal, from Alexandria via LeMat-Bulk.

Cell and atoms, written as POSCAR:
```
CaZn3Ir3
1.0
6.792 0.000 0.000
0.000 6.792 0.000
0.000 0.000 6.792
Zn Ca Ir
6 2 6
Direct
0.500 0.000 0.250
0.500 0.000 0.750
0.750 0.500 0.000
0.000 0.250 0.500
0.250 0.500 0.000
0.000 0.750 0.500
0.000 0.000 0.000
0.500 0.500 0.500
0.500 0.250 0.000
0.000 0.500 0.250
0.500 0.750 0.000
0.250 0.000 0.500
0.000 0.500 0.750
0.750 0.000 0.500
```

Output
ΔE_f = 3.930 eV per formula unit
M_tot = 0.52 μB/f.u.
Total energy = -0.149 hartree per atom
V = 22.4 Å³ per atom
Crystal system = cubic


(4)
The following is a PBE calculation of a relaxed CaZn3Ir crystal, from Alexandria via LeMat-Bulk.

Cell and atoms, written as POSCAR:
```
CaZn3Ir
1.0
4.812 0.000 0.000
0.000 4.812 0.000
0.000 0.000 4.812
Zn Ir Ca
3 1 1
Direct
0.000 0.000 0.500
0.500 0.000 0.000
0.000 0.500 0.000
0.000 0.000 0.000
0.500 0.500 0.500
```

Output
ΔE_f = -1.027 eV per formula unit
M_tot = 0.00 μB/f.u.
Total energy = -0.115 hartree per atom
V = 22.3 Å³ per atom
Crystal system = cubic


(5)
The following is a PBE calculation of a relaxed Ca2Zn3Ir crystal, from Alexandria via LeMat-Bulk.

Cell and atoms, written as POSCAR:
```
Ca2Zn3Ir
1.0
5.428 0.000 0.000
-2.714 4.700 0.000
0.000 0.000 8.980
Ca Zn Ir
4 6 2
Direct
0.667 0.333 0.053
0.333 0.667 0.553
0.667 0.333 0.447
0.333 0.667 0.947
0.676 0.838 0.250
0.838 0.676 0.750
0.324 0.162 0.750
0.838 0.162 0.750
0.162 0.838 0.250
0.162 0.324 0.250
0.000 0.000 0.000
0.000 0.000 0.500
```

Output
ΔE_f = -2.439 eV per formula unit
M_tot = 0.00 μB/f.u.
Total energy = -0.117 hartree per atom
V = 19.1 Å³ per atom
Crystal system = hexagonal


(6)
The following is a PBE calculation of a relaxed CaZn5Ir2 crystal, from Alexandria via LeMat-Bulk.

Cell and atoms, written as POSCAR:
```
CaZn5Ir2
1.0
-0.203 3.937 1.039
-4.638 0.706 4.415
2.796 0.736 5.757
Ca Ir Zn
1 2 5
Direct
0.000 0.000 0.000
0.745 0.755 0.755
0.255 0.245 0.245
0.335 0.846 0.484
0.335 0.484 0.846
0.000 0.500 0.500
0.665 0.154 0.516
0.665 0.516 0.154
```

Output
ΔE_f = -1.831 eV per formula unit
M_tot = 0.00 μB/f.u.
Total energy = -0.128 hartree per atom
V = 18.5 Å³ per atom
Crystal system = orthorhombic


(7)
The following is a PBE calculation of a relaxed CaZnIr2 crystal, from Alexandria via LeMat-Bulk.

Cell and atoms, written as POSCAR:
```
CaZnIr2
1.0
-4.642 -1.233 1.327
-0.111 -1.080 4.863
1.816 3.911 -2.496
Ir Zn Ca
2 1 1
Direct
0.000 0.000 0.000
0.500 0.500 0.000
0.250 0.750 0.500
0.750 0.250 0.500
```

Output
ΔE_f = 0.122 eV per formula unit
M_tot = 0.00 μB/f.u.
Total energy = -0.192 hartree per atom
V = 16.8 Å³ per atom
Crystal system = tetragonal


(8)
The following is a PBE calculation of a relaxed Ca2ZnIr2 crystal, from Alexandria via LeMat-Bulk.

Cell and atoms, written as POSCAR:
```
Ca2ZnIr2
1.0
5.457 0.074 0.964
2.463 4.870 0.964
0.140 0.087 8.011
Ir Ca Zn
4 4 2
Direct
0.995 0.276 0.992
0.276 0.995 0.492
0.005 0.724 0.008
0.724 0.005 0.508
0.488 0.211 0.150
0.789 0.512 0.350
0.512 0.789 0.850
0.211 0.488 0.650
0.110 0.890 0.250
0.890 0.110 0.750
```

Output
ΔE_f = -1.943 eV per formula unit
M_tot = 0.30 μB/f.u.
Total energy = -0.183 hartree per atom
V = 21.0 Å³ per atom
Crystal system = monoclinic


(9)
The following is a PBE calculation of a relaxed CaZnIr2 crystal, from Alexandria via LeMat-Bulk.

Cell and atoms, written as POSCAR:
```
CaZnIr2
1.0
4.771 -0.005 -0.021
3.878 2.779 -0.021
1.030 0.330 5.161
Ir Zn Ca
2 1 1
Direct
0.011 0.011 0.952
0.489 0.489 0.548
0.750 0.750 0.750
0.250 0.250 0.250
```

Output
ΔE_f = -0.314 eV per formula unit
M_tot = 0.00 μB/f.u.
Total energy = -0.196 hartree per atom
V = 17.2 Å³ per atom
Crystal system = monoclinic


(10)
The following is a PBE calculation of a relaxed CaZn4Ir crystal, from Alexandria via LeMat-Bulk.

Cell and atoms, written as POSCAR:
```
CaZn4Ir
1.0
-2.900 2.737 -0.843
-4.655 -3.798 3.688
1.883 3.993 6.488
Ca Zn Ir
2 8 2
Direct
0.000 0.379 0.250
0.000 0.621 0.750
0.500 0.970 0.750
0.000 0.000 0.000
0.500 0.030 0.250
0.000 0.000 0.500
0.500 0.321 0.566
0.500 0.679 0.434
0.500 0.321 0.934
0.500 0.679 0.066
0.000 0.790 0.250
0.000 0.210 0.750
```

Output
ΔE_f = -1.607 eV per formula unit
M_tot = 0.00 μB/f.u.
Total energy = -0.108 hartree per atom
V = 18.8 Å³ per atom
Crystal system = orthorhombic


(11)
The following is a PBE calculation of a relaxed CaZn6Ir2 crystal, from Alexandria via LeMat-Bulk.

Cell and atoms, written as POSCAR:
```
CaZn6Ir2
1.0
4.288 0.000 0.000
2.144 6.524 1.534
2.144 2.791 6.093
Ir Zn Ca
2 6 1
Direct
0.116 0.384 0.384
0.884 0.616 0.616
0.500 0.698 0.302
0.299 0.946 0.455
0.701 0.545 0.054
0.299 0.455 0.946
0.701 0.054 0.545
0.500 0.302 0.698
0.000 0.000 0.000
```

Output
ΔE_f = -1.347 eV per formula unit
M_tot = 0.00 μB/f.u.
Total energy = -0.117 hartree per atom
V = 16.9 Å³ per atom
Crystal system = orthorhombic


(12)
The following is a PBE calculation of a relaxed CaZn3Ir crystal, from Alexandria via LeMat-Bulk.

Cell and atoms, written as POSCAR:
```
CaZn3Ir
1.0
-0.116 -1.190 -5.431
-3.452 -4.233 1.002
-2.990 5.796 -1.206
Ir Zn Ca
2 6 2
Direct
0.000 0.000 0.000
0.500 0.000 0.000
0.250 0.903 0.287
0.250 0.816 0.631
0.750 0.097 0.713
0.750 0.616 0.713
0.750 0.184 0.369
0.250 0.384 0.287
0.250 0.403 0.807
0.750 0.597 0.193
```

Output
ΔE_f = -1.369 eV per formula unit
M_tot = 0.00 μB/f.u.
Total energy = -0.118 hartree per atom
V = 18.6 Å³ per atom
Crystal system = orthorhombic